Record 1
First-principles (PBE-GGA) data for crystalline Mn2IrCl at its relaxed geometry, as listed in Alexandria via LeMat-Bulk.

Summary:
E_tot: -7.046 eV per atom
ΔE_f (raw): 0.2159 eV per atom
energy above the lowest structure with this stoichiometry: 0.314 eV/atom

Cell: 2.918 2.918 7.869 Å, 90.00 90.00 90.00°
Last column: magnetic moment on the atom in μB.
Fractional coordinates of all 4 atoms:
Ir: 0.500 0.500 0.834  0.21
Mn: 0.000 0.000 0.010  2.32
Mn: 0.500 0.500 0.232  3.59
Cl: 0.000 0.000 0.424  0.11

---

Record 2
First-principles (PBE-GGA) data for crystalline PmEu2Sn at its relaxed geometry, as listed in Alexandria via LeMat-Bulk.

Summary:
E_tot: -7.538 eV per atom
ΔE_f: -213 meV per atom
energy above the lowest structure with this stoichiometry: 0.193 eV/atom

Cell: 5.647 5.647 5.647 Å, 60.00 60.00 60.00°
Last column: magnetic moment on the atom in μB.
Fractional coordinates of all 4 atoms:
Eu: 0.250 0.250 0.250  7.06
Eu: 0.750 0.750 0.750  7.06
Sn: 0.000 0.000 0.000  -0.08
Pm: 0.500 0.500 0.500  0.82

---

Record 3
First-principles (PBE-GGA) data for crystalline La2Bi3Pb3 at its relaxed geometry, as listed in Alexandria via LeMat-Bulk.

Summary:
E_tot: -4.584 eV per atom
ΔE_f: -506 meV per atom

Cell: 5.134 5.041 9.664 Å, 90.00 90.00 90.00°
Fractional coordinates of all 8 atoms:
La: 0.000 0.000 0.743
La: 0.000 0.000 0.257
Bi: 0.500 0.000 0.500
Bi: 0.000 0.500 0.000
Bi: 0.000 0.500 0.500
Pb: 0.500 0.500 0.751
Pb: 0.500 0.500 0.249
Pb: 0.500 0.000 0.000

---

Record 4
First-principles (PBE-GGA) data for crystalline Dy3In3Ir2 at its relaxed geometry, as listed in Alexandria via LeMat-Bulk.

Summary:
E_tot: -5.526 eV per atom
ΔE_f: -558 meV per atom

Cell: 4.665 5.210 8.401 Å, 101.32 106.12 90.00°
Fractional coordinates of all 8 atoms:
Dy: 0.170 0.592 0.340
Dy: 0.830 0.408 0.660
Dy: 0.000 0.000 0.000
In: 0.631 0.080 0.263
In: 0.500 0.500 0.000
In: 0.369 0.920 0.737
Ir: 0.217 0.121 0.434
Ir: 0.783 0.879 0.566

---

Record 5
First-principles (PBE-GGA) data for crystalline PrCdIn at its relaxed geometry, as listed in Alexandria via LeMat-Bulk.

Summary:
E_tot: -3.252 eV per atom
ΔE_f: -441 meV per atom

Cell: 4.960 4.960 7.788 Å, 90.00 90.00 120.00°
Fractional coordinates of all 6 atoms:
Pr: 0.000 0.000 0.261
Pr: 0.000 0.000 0.739
Cd: 0.333 0.667 0.476
Cd: 0.667 0.333 0.524
In: 0.667 0.333 0.949
In: 0.333 0.667 0.051

---

Record 6
First-principles (PBE-GGA) data for crystalline KCdMo2 at its relaxed geometry, as listed in Alexandria via LeMat-Bulk.

Summary:
E_tot: -4.704 eV per atom
ΔE_f: 1215 meV per atom

Cell: 6.093 6.093 2.671 Å, 90.00 90.00 124.89°
Fractional coordinates of all 4 atoms:
Cd: 0.500 0.000 0.500
K: 0.000 0.500 0.500
Mo: 0.000 0.000 0.000
Mo: 0.500 0.500 0.000

---

Record 7
First-principles (PBE-GGA) data for crystalline MnZnPd at its relaxed geometry, as listed in Alexandria via LeMat-Bulk.

Summary:
E_tot: -5.392 eV per atom
ΔE_f: -180 meV per atom

Cell: 5.967 5.967 4.069 Å, 90.00 90.00 142.77°
Last column: magnetic moment on the atom in μB.
Fractional coordinates of all 6 atoms:
Zn: 0.583 0.417 0.750  -0.07
Zn: 0.417 0.583 0.250  -0.07
Pd: 0.245 0.755 0.750  0.15
Pd: 0.755 0.245 0.250  0.15
Mn: 0.088 0.912 0.250  3.57
Mn: 0.912 0.088 0.750  3.57

---

Record 8
First-principles (PBE-GGA) data for crystalline CaMg2Mn at its relaxed geometry, as listed in Alexandria via LeMat-Bulk.

Summary:
E_tot: -3.380 eV per atom
ΔE_f: 210 meV per atom

Cell: 3.512 3.512 7.801 Å, 90.00 90.00 90.00°
Last column: magnetic moment on the atom in μB.
Fractional coordinates of all 4 atoms:
Ca: 0.500 0.500 0.721  -0.04
Mg: 0.000 0.000 0.041  0.00
Mg: 0.500 0.500 0.280  -0.03
Mn: 0.000 0.000 0.457  3.67

---

Record 9
First-principles (PBE-GGA) data for crystalline Tb2PrHo12 at its relaxed geometry, as listed in Alexandria via LeMat-Bulk.

Summary:
E_tot: -4.487 eV per atom
ΔE_f: 111 meV per atom

Cell: 6.594 6.594 24.833 Å, 96.67 83.33 65.03°
Fractional coordinates of all 30 atoms:
Tb: 0.545 0.955 0.273
Tb: 0.045 0.455 0.273
Tb: 0.955 0.545 0.727
Tb: 0.455 0.045 0.727
Pr: 0.500 0.000 0.000
Pr: 0.000 0.500 0.000
Ho: 0.403 0.597 0.797
Ho: 0.903 0.097 0.797
Ho: 0.604 0.896 0.861
Ho: 0.057 0.943 0.924
Ho: 0.001 0.999 0.331
Ho: 0.443 0.557 0.076
Ho: 0.833 0.167 0.555
Ho: 0.501 0.499 0.331
Ho: 0.104 0.396 0.861
Ho: 0.896 0.604 0.139
Ho: 0.318 0.182 0.573
Ho: 0.667 0.333 0.445
Ho: 0.999 0.001 0.669
Ho: 0.182 0.318 0.427
Ho: 0.396 0.104 0.139
Ho: 0.682 0.818 0.427
Ho: 0.818 0.682 0.573
Ho: 0.097 0.903 0.203
Ho: 0.333 0.667 0.555
Ho: 0.499 0.501 0.669
Ho: 0.557 0.443 0.924
Ho: 0.597 0.403 0.203
Ho: 0.167 0.833 0.445
Ho: 0.943 0.057 0.076

---

Record 10
First-principles (PBE-GGA) data for crystalline La6IrAu2I3 at its relaxed geometry, as listed in Alexandria via LeMat-Bulk.

Summary:
E_tot: -5.132 eV per atom
ΔE_f (raw): -0.9957 eV per atom

Cell: 7.578 7.578 8.561 Å, 98.52 98.52 119.82°
Fractional coordinates of all 12 atoms:
La: 0.935 0.621 0.805
La: 0.752 0.752 0.197
La: 0.065 0.379 0.195
La: 0.621 0.935 0.805
La: 0.248 0.248 0.803
La: 0.379 0.065 0.195
Ir: 0.000 0.000 0.000
Au: 0.334 0.666 0.000
Au: 0.666 0.334 0.000
I: 0.170 0.830 0.500
I: 0.830 0.170 0.500
I: 0.500 0.500 0.500